[1]
First-principles (PBE) data for a geometry-optimized Dy6Ho8Pu structure, as listed in Alexandria.

a b c (Å): 8.5057 8.5057 8.5057
angles (deg): 63.60 63.60 63.60
Last column: nearest neighbours and their distance in Å.
Atoms (fractional coordinates):
Dy1 0.1137 0.5458 0.2204  4 Ho 3.32-3.61, 1 Pu 3.35, 4 Dy 3.49-3.63
Dy2 0.2204 0.1137 0.5458  4 Ho 3.32-3.61, 1 Pu 3.35, 4 Dy 3.49-3.63
Ho1 0.2812 0.2502 0.8894  3 Dy 3.37-3.61, 5 Ho 3.38-3.40, 1 Pu 3.45
Ho2 0.7188 0.7498 0.1106  3 Dy 3.37-3.61, 5 Ho 3.38-3.40, 1 Pu 3.45
Ho3 0.8894 0.2812 0.2502  3 Dy 3.37-3.61, 5 Ho 3.38-3.40, 1 Pu 3.45
Dy3 0.7796 0.8863 0.4542  4 Ho 3.32-3.61, 1 Pu 3.35, 4 Dy 3.49-3.63
Ho4 0.5764 0.5764 0.5764  4 Ho 3.09-3.39, 3 Dy 3.32
Pu1 0.0000 0.0000 0.0000  6 Dy 3.35, 6 Ho 3.45
Ho5 0.1106 0.7188 0.7498  3 Dy 3.37-3.61, 5 Ho 3.38-3.40, 1 Pu 3.45
Dy4 0.4542 0.7796 0.8863  4 Ho 3.32-3.61, 1 Pu 3.35, 4 Dy 3.49-3.63
Ho6 0.7498 0.1106 0.7188  3 Dy 3.37-3.61, 5 Ho 3.38-3.40, 1 Pu 3.45
Dy5 0.8863 0.4542 0.7796  4 Ho 3.32-3.61, 1 Pu 3.35, 4 Dy 3.49-3.63
Ho7 0.4236 0.4236 0.4236  4 Ho 3.09-3.39, 3 Dy 3.32
Dy6 0.5458 0.2204 0.1137  4 Ho 3.32-3.61, 1 Pu 3.35, 4 Dy 3.49-3.63
Ho8 0.2502 0.8894 0.2812  3 Dy 3.37-3.61, 5 Ho 3.38-3.40, 1 Pu 3.45

VASP energy: -5.123 eV per atom
calculated density: 8973 kg/m³
magnetization: 6.6 μB/f.u.
calculated formation energy: 0.11 eV/atom
N(E_F): 1.35 states/eV per atom

---

[2]
First-principles (PBE) data for a geometry-optimized AsAuSBr2 structure, as listed in Alexandria.

a b c (Å): 5.0987 5.0987 5.2831
angles (deg): 90.00 90.00 90.00
Last column: nearest neighbours and their distance in Å.
Atoms (fractional coordinates):
Br1 0.5000 0.0000 0.0000  2 Au 2.55
S1 0.5000 0.5000 0.5000  4 As 3.61, 8 Br 3.67
Br2 0.0000 0.5000 0.0000  2 Au 2.55
As1 0.0000 0.0000 0.5000  2 Au 2.64
Au1 0.0000 0.0000 0.0000  4 Br 2.55, 2 As 2.64

VASP energy: -2.280 eV per atom
calculated density: 5607 kg/m³
magnetization: 0.0 μB/f.u.
N(E_F): 1.12 states/eV per atom
uncorrected formation energy: 77.2 kJ per mole of atoms

---

[3]
First-principles (PBE) data for a geometry-optimized BeAl2Tl structure, as listed in Alexandria.

a b c (Å): 4.4187 4.4187 8.8189
angles (deg): 75.49 75.49 90.00
Last column: nearest neighbours and their distance in Å.
Atoms (fractional coordinates):
Al1 0.3750 0.4533 0.7500  2 Be 2.46, 2 Al 2.68, 2 Tl 2.75
Al2 0.2033 0.6250 0.2500  2 Be 2.46, 2 Al 2.68, 2 Tl 2.75
Tl1 0.7500 0.2500 0.5000  4 Al 2.75
Be1 0.5000 0.5000 0.0000  4 Al 2.46
Be2 0.2500 0.7500 0.5000  4 Al 2.46
Al3 0.5467 0.1250 0.2500  2 Be 2.46, 2 Al 2.68, 2 Tl 2.75
Al4 0.8750 0.7967 0.7500  2 Be 2.46, 2 Al 2.68, 2 Tl 2.75
Tl2 0.0000 0.0000 0.0000  4 Al 2.75

VASP energy: -2.945 eV per atom
calculated density: 5514 kg/m³
magnetization: 0.0 μB/f.u.
calculated formation energy: 0.45 eV/atom
N(E_F): 0.33 states/eV per atom

---

[4]
First-principles (PBE) data for a geometry-optimized BeNiHg structure, as listed in Alexandria.

a b c (Å): 3.9274 3.9274 3.9274
angles (deg): 60.00 60.00 60.00
Last column: nearest neighbours and their distance in Å.
Atoms (fractional coordinates):
Be1 0.7500 0.7500 0.7500  4 Hg 2.41, 4 Ni 2.41
Hg1 0.0000 0.0000 0.0000  4 Be 2.41
Ni1 0.5000 0.5000 0.5000  4 Be 2.41

VASP energy: -3.030 eV per atom
calculated density: 10401 kg/m³
magnetization: 0.0 μB/f.u.
calculated formation energy: 0.24 eV/atom
N(E_F): 0.37 states/eV per atom

---

[5]
First-principles (PBE) data for a geometry-optimized Ca3Cd3GaO8 structure, as listed in Alexandria.

a b c (Å): 6.6676 6.6693 6.6891
angles (deg): 119.90 90.00 119.99
Last column: nearest neighbours and their distance in Å.
Atoms (fractional coordinates):
Cd1 0.0000 0.5000 0.5000  6 O 2.38-2.39
O1 0.2173 0.4346 0.7162  1 Ga 2.05
O2 0.7827 0.5654 0.2838  1 Ga 2.05
Ga1 0.0000 0.0000 0.5000  6 O 2.05
O3 0.2175 0.9991 0.7164  1 Ga 2.05
Ca1 0.5000 0.5000 0.0000  6 O 2.34-2.39
O4 0.2474 0.4948 0.2424  3 Ca 2.34, 3 Cd 2.39
Ca2 0.0000 0.0000 0.0000  6 O 2.34-2.39
O5 0.2184 0.0009 0.2836  1 Ga 2.05
O6 0.7526 0.5052 0.7576  3 Ca 2.34, 3 Cd 2.39
Ca3 0.0000 0.5000 0.0000  6 O 2.34-2.39
O7 0.7816 0.9991 0.7164  1 Ga 2.05
O8 0.7825 0.0009 0.2836  1 Ga 2.05
Cd2 0.5000 0.0000 0.5000  6 O 2.38-2.39
Cd3 0.5000 0.5000 0.5000  6 O 2.38-2.39

VASP energy: -5.282 eV per atom
calculated density: 5164 kg/m³
magnetization: 0.7 μB/f.u.
N(E_F): 0.77 states/eV per atom
uncorrected formation energy: -178.7 kJ per mole of atoms

---

[6]
First-principles (PBE) data for a geometry-optimized MgOs2F2 structure, as listed in Alexandria.

a b c (Å): 7.5880 7.5880 2.7310
angles (deg): 90.00 90.00 90.00
Last column: nearest neighbours and their distance in Å.
Atoms (fractional coordinates):
F1 0.2647 0.7647 0.0000  2 Os 2.20
Mg1 0.0000 0.0000 0.0000  4 F 2.69, 2 Mg 2.73
Os1 0.8964 0.3964 0.5000  2 F 2.20, 1 Os 2.22
Os2 0.6036 0.8964 0.5000  2 F 2.20, 1 Os 2.22
Os3 0.3964 0.1036 0.5000  2 F 2.20, 1 Os 2.22
Os4 0.1036 0.6036 0.5000  2 F 2.20, 1 Os 2.22
Mg2 0.5000 0.5000 0.0000  4 F 2.69, 2 Mg 2.73
F2 0.2353 0.2647 0.0000  2 Os 2.20
F3 0.7647 0.7353 0.0000  2 Os 2.20
F4 0.7353 0.2353 0.0000  2 Os 2.20

VASP energy: -5.484 eV per atom
calculated density: 9351 kg/m³
magnetization: 0.0 μB/f.u.
N(E_F): 0.49 states/eV per atom
uncorrected formation energy: 7.3 kJ per mole of atoms

---

[7]
First-principles (PBE) data for a geometry-optimized Ac2Tb5NdHo structure, as listed in Alexandria.

a b c (Å): 5.8015 10.4791 10.9310
angles (deg): 90.00 90.00 106.07
Last column: nearest neighbours and their distance in Å.
Atoms (fractional coordinates):
Ac1 0.8841 0.7683 0.8194  9 Tb 3.38-3.75
Tb1 0.6104 0.2209 0.5205  6 Tb 3.53-3.91, 4 Ac 3.64-3.70, 1 Ho 3.71
Ac2 0.1159 0.2317 0.3194  9 Tb 3.38-3.75
Tb2 0.7027 0.4054 0.2064  4 Tb 3.51-3.90, 1 Nd 3.56, 3 Ho 3.60-3.81, 3 Ac 3.61-3.73
Nd1 0.5854 0.1709 0.9623  5 Tb 3.12-3.30
Tb3 0.3896 0.7791 0.0205  6 Tb 3.53-3.91, 4 Ac 3.64-3.70, 1 Ho 3.71
Tb4 0.9802 0.9605 0.5253  2 Nd 3.26, 2 Ac 3.49-3.54
Ac3 0.1127 0.2254 0.7311  7 Tb 3.49-3.73, 1 Ho 3.59, 2 Nd 3.89
Tb5 0.7162 0.4325 0.8093  1 Nd 3.12, 1 Ac 3.38
Ho1 0.7944 0.5887 0.5111  2 Ac 3.59-3.82, 8 Tb 3.60-3.81, 2 Nd 3.82
Ac4 0.8873 0.7746 0.2311  7 Tb 3.49-3.73, 1 Ho 3.59, 2 Nd 3.89
Tb6 0.4811 0.9621 0.7386  2 Nd 3.22-3.30, 2 Tb 3.53-3.59, 2 Ac 3.61
Ho2 0.2056 0.4113 0.0111  2 Ac 3.59-3.82, 8 Tb 3.60-3.81, 2 Nd 3.82
Tb7 0.2838 0.5675 0.3093  1 Nd 3.12, 1 Ac 3.38
Tb8 0.2973 0.5946 0.7064  4 Tb 3.51-3.90, 1 Nd 3.56, 3 Ho 3.60-3.81, 3 Ac 3.61-3.73
Tb9 0.5189 0.0379 0.2386  2 Nd 3.22-3.30, 2 Tb 3.53-3.59, 2 Ac 3.61
Nd2 0.4146 0.8291 0.4623  5 Tb 3.12-3.30
Tb10 0.0198 0.0395 0.0253  2 Nd 3.26, 2 Ac 3.49-3.54

VASP energy: -4.369 eV per atom
calculated density: 8102 kg/m³
magnetization: 0.0 μB/f.u.
calculated formation energy: 0.15 eV/atom
N(E_F): 1.38 states/eV per atom

---

[8]
First-principles (PBE) data for a geometry-optimized Tl2HgSbAu structure, as listed in Alexandria.

a b c (Å): 5.6025 5.6042 5.5468
angles (deg): 90.00 90.00 90.00
Last column: nearest neighbours and their distance in Å.
Atoms (fractional coordinates):
Hg1 0.5000 0.5000 0.5777  4 Tl 3.29
Tl1 0.0000 0.5000 0.8876  2 Au 3.02, 2 Hg 3.29, 2 Sb 3.34
Au1 0.0000 0.0000 0.0887  1 Sb 2.61
Sb1 0.0000 0.0000 0.5584  1 Au 2.61
Tl2 0.5000 0.0000 0.8877  2 Au 3.02, 2 Hg 3.29, 2 Sb 3.34

VASP energy: -2.347 eV per atom
calculated density: 8849 kg/m³
magnetization: 0.0 μB/f.u.
N(E_F): 0.30 states/eV per atom
uncorrected formation energy: 13.5 kJ per mole of atoms

---

[9]
First-principles (PBE) data for a geometry-optimized HPb2O structure, as listed in Alexandria.

a b c (Å): 5.6326 5.6326 6.7260
angles (deg): 65.25 65.25 90.00
Last column: nearest neighbours and their distance in Å.
Atoms (fractional coordinates):
H1 0.2500 0.7500 0.5000  4 Pb 2.40
Pb1 0.3750 0.3767 0.7500  2 H 2.40, 2 O 2.41
H2 0.5000 0.5000 0.0000  4 Pb 2.40
O1 0.0000 0.0000 0.0000  4 Pb 2.41
Pb2 0.6233 0.1250 0.2500  2 H 2.40, 2 O 2.41
Pb3 0.1267 0.6250 0.2500  2 H 2.40, 2 O 2.41
Pb4 0.8750 0.8733 0.7500  2 H 2.40, 2 O 2.41
O2 0.7500 0.2500 0.5000  4 Pb 2.41

VASP energy: -4.110 eV per atom
calculated density: 8332 kg/m³
magnetization: 0.0 μB/f.u.
N(E_F): 0.42 states/eV per atom

---

[10]
First-principles (PBE) data for a geometry-optimized RbSrCo2Br8 structure, as listed in Alexandria.

a b c (Å): 6.9914 6.9914 10.9163
angles (deg): 71.32 71.32 60.00
Last column: nearest neighbours and their distance in Å.
Atoms (fractional coordinates):
Br1 0.5826 0.2961 0.1818  1 Co 2.38
Br2 0.4174 0.7039 0.8182  1 Co 2.38
Co1 0.2478 0.2478 0.2565  4 Br 2.32-2.38
Br3 0.1716 0.1716 0.4852  1 Co 2.32
Br4 0.0604 0.4174 0.8182  1 Co 2.38
Rb1 0.5000 0.5000 0.5000  12 Br 3.94-4.04
Br5 0.2961 0.9396 0.1818  1 Co 2.38
Br6 0.7039 0.0604 0.8182  1 Co 2.38
Sr1 0.0000 0.0000 0.0000  6 Br 3.10
Br7 0.9396 0.5826 0.1818  1 Co 2.38
Br8 0.8284 0.8284 0.5148  1 Co 2.32
Co2 0.7522 0.7522 0.7435  4 Br 2.32-2.38

VASP energy: -3.502 eV per atom
calculated density: 3598 kg/m³
magnetization: 7.0 μB/f.u.
N(E_F): 1.10 states/eV per atom
uncorrected formation energy: -94.7 kJ per mole of atoms

---

[11]
First-principles (PBE) data for a geometry-optimized Dy2Sc8Tc structure, as listed in Alexandria.

a b c (Å): 5.0620 6.2904 8.8728
angles (deg): 85.30 106.57 90.00
Last column: nearest neighbours and their distance in Å.
Atoms (fractional coordinates):
Tc1 0.5000 0.0000 0.0000  4 Sc 2.59-2.71
Sc1 0.9709 0.7684 0.9417  2 Tc 2.98, 7 Sc 3.16-3.27
Sc2 0.6432 0.1095 0.2865  1 Tc 2.59
Sc3 0.8410 0.1585 0.6820  7 Sc 3.04-3.40, 4 Dy 3.26-3.38
Sc4 0.0291 0.2316 0.0583  2 Tc 2.98, 7 Sc 3.16-3.27
Dy1 0.7783 0.6624 0.5566  9 Sc 3.25-3.48, 2 Dy 3.44
Sc5 0.3568 0.8905 0.7135  1 Tc 2.59
Dy2 0.2217 0.3376 0.4434  9 Sc 3.25-3.48, 2 Dy 3.44
Sc6 0.5825 0.6124 0.1650  1 Tc 2.71
Sc7 0.1590 0.8415 0.3180  7 Sc 3.04-3.40, 4 Dy 3.26-3.38
Sc8 0.4175 0.3876 0.8350  1 Tc 2.71

VASP energy: -6.403 eV per atom
calculated density: 4817 kg/m³
magnetization: 0.0 μB/f.u.
calculated formation energy: -0.02 eV/atom
N(E_F): 1.74 states/eV per atom

---

[12]
First-principles (PBE) data for a geometry-optimized Pm2Dy3HoS6 structure, as listed in Alexandria.

a b c (Å): 3.9297 7.9338 8.8138
angles (deg): 103.18 102.88 90.00
Last column: nearest neighbours and their distance in Å.
Atoms (fractional coordinates):
Dy1 0.1687 0.8330 0.3374  6 S 2.74-2.78
Dy2 0.5000 0.5000 0.0000  6 S 2.73-2.80
Pm1 0.1676 0.3354 0.3351  6 S 2.82-2.85
S1 0.3365 0.4097 0.6729  3 Dy 2.73-2.74, 3 Pm 2.82-2.83
Pm2 0.8324 0.6646 0.6649  6 S 2.82-2.85
Dy3 0.8313 0.1670 0.6626  6 S 2.74-2.78
S2 0.3349 0.9256 0.6698  3 Dy 2.75-2.78, 1 Ho 2.76, 2 Pm 2.85
S3 0.9968 0.2466 0.9936  3 Dy 2.77-2.80, 2 Ho 2.78, 1 Pm 2.85
S4 0.6651 0.0744 0.3302  3 Dy 2.75-2.78, 1 Ho 2.76, 2 Pm 2.85
Ho1 0.5000 0.0000 0.0000  6 S 2.76-2.78
S5 0.0032 0.7534 0.0064  3 Dy 2.77-2.80, 2 Ho 2.78, 1 Pm 2.85
S6 0.6635 0.5903 0.3271  3 Dy 2.73-2.74, 3 Pm 2.82-2.83

VASP energy: -6.391 eV per atom
calculated density: 7235 kg/m³
magnetization: 0.0 μB/f.u.
N(E_F): 0.43 states/eV per atom
uncorrected formation energy: -193.3 kJ per mole of atoms

---

Q: The highest calculated density belongs to which entry?
A: BeNiHg

---

Q: VASP energy of number 12 (Pm2Dy3HoS6)?
A: -6.391 eV per atom

---

Q: Among the records above, which one has the highest N(E_F)?
A: Dy2Sc8Tc